Compound: Ac3LaZn2
Source: Alexandria via LeMat-Bulk
Functional: GGA-PBE
Structure: relaxed

Lattice parameters (Å, degrees): 3.9203 3.9203 13.1915 90.00 90.00 90.00
Fractional coordinates of all 6 atoms:
Zn  0.5000  0.5000  0.8507
Zn  0.5000  0.5000  0.1493
La  0.5000  0.5000  0.5000
Ac  0.0000  0.0000  0.7072
Ac  0.0000  0.0000  0.0000
Ac  0.0000  0.0000  0.2928

Computed properties:
space-group type: P4/mmm, No. 123
ΔH_f (0 K): -159 meV per atom